# NaSr2CrF8

Crystalline NaSr2CrF8 at its relaxed geometry (PBE with a Hubbard U, the Alexandria database).

Properties
SG: P-1
E above lowest polymorph in meV per atom: 66
D(E_F) in states/eV per cell: 0.0

Unit cell a=5.6868 b=4.2161 c=7.2487 alpha=91.46 beta=86.38 gamma=92.25
Last column: nearest neighbours and their distance in Å.
Element x y z (fractional)
F 0.9325 0.2400 0.7841  1 Cr 1.95
F 0.3485 0.2331 0.4442  1 Na 2.20, 1 Sr 2.43
F 0.6515 0.7669 0.5558  1 Na 2.20, 1 Sr 2.43
F 0.0675 0.7600 0.2159  1 Cr 1.95
Cr 0.0000 0.0000 0.0000  6 F 1.95-1.98
F 0.2892 0.2516 0.0507  1 Cr 1.97
F 0.2230 0.7937 0.8181  1 Cr 1.98
F 0.7108 0.7484 0.9493  1 Cr 1.97
Sr 0.4946 0.6917 0.2537  7 F 2.43-2.69
F 0.7770 0.2063 0.1819  1 Cr 1.98
Sr 0.5054 0.3083 0.7463  7 F 2.43-2.69
Na 0.0000 0.0000 0.5000  4 F 2.20-2.29